Record 1
The following is a GGA-PBE calculation of YReO3 after structural relaxation, from the Alexandria database.

abc: 4.272 4.272 4.272
angles: 90.00 90.00 90.00
Each line ends with the local moment (μB).
Positions (direct):
Y 0.000 0.000 0.000  -0.01
Re 0.500 0.500 0.500  3.73
O 0.000 0.500 0.000  -0.14
O 0.000 0.000 0.500  -0.09
O 0.500 0.000 0.000  -0.04

Results
As for the formation energy without anion corrections: -2.1 eV per formula unit. The final energy is -35.84 eV/f.u. For the density of states at the Fermi level, the calculation gives 6.9 states/eV/f.u. The value obtained for the total magnetization is 4.0 μB/cell.



Record 2
The following is a GGA-PBE calculation of YRe2O after structural relaxation, from the Alexandria database.

abc: 4.956 4.956 7.353
angles: 70.31 70.31 90.00
Each line ends with the local moment (μB).
Positions (direct):
Y 0.000 0.000 0.000  0.01
Y 0.750 0.250 0.500  0.01
Re 0.375 0.125 0.250  0.16
Re 0.375 0.625 0.250  0.17
Re 0.375 0.625 0.750  0.18
Re 0.875 0.625 0.750  0.25
O 0.500 0.500 0.000  0.03
O 0.250 0.750 0.500  0.03

Results
As for the formation energy without anion corrections: 1.1 eV per formula unit. The final energy is -35.26 eV/f.u. For the density of states at the Fermi level, the calculation gives 5.1 states/eV/f.u. The value obtained for the total magnetization is 1.0 μB/cell.



Record 3
The following is a GGA-PBE calculation of Y2ReO8 after structural relaxation, from the Alexandria database.

abc: 3.793 4.910 7.354
angles: 105.31 104.94 90.00
Positions (direct):
Y 0.820 0.327 0.641
Y 0.180 0.673 0.359
Re 0.500 0.000 0.000
O 0.457 0.546 0.914
O 0.627 0.999 0.253
O 0.758 0.704 0.516
O 0.021 0.216 0.042
O 0.242 0.296 0.484
O 0.373 0.001 0.747
O 0.543 0.454 0.086
O 0.979 0.784 0.958

Results
As for the formation energy without anion corrections: -19.8 eV per formula unit. The final energy is -84.88 eV/f.u. For the density of states at the Fermi level, the calculation gives 2.4 states/eV/f.u. The value obtained for the total magnetization is 0.0 μB/cell.



Record 4
The following is a GGA-PBE calculation of Yb5Re2O12 after structural relaxation, from the Alexandria database.

abc: 6.846 6.846 7.665
angles: 73.52 73.52 49.79
Each line ends with the local moment (μB).
Positions (direct):
Yb 0.698 0.698 0.628  0.49
Yb 0.302 0.302 0.372  0.49
Yb 0.683 0.683 0.190  0.40
Yb 0.317 0.317 0.810  0.40
Yb 0.000 0.000 0.500  0.48
Re 0.777 0.223 0.000  -0.15
Re 0.223 0.777 0.000  -0.15
O 0.999 0.999 0.198  -0.01
O 0.001 0.001 0.802  -0.01
O 0.593 0.092 0.077  -0.01
O 0.407 0.908 0.923  -0.01
O 0.908 0.407 0.923  -0.01
O 0.092 0.593 0.077  -0.01
O 0.498 0.498 0.171  0.00
O 0.502 0.502 0.829  0.00
O 0.405 0.902 0.425  0.08
O 0.595 0.098 0.575  0.08
O 0.098 0.595 0.575  0.08
O 0.902 0.405 0.425  0.08

Results
As for the formation energy without anion corrections: -47.6 eV per formula unit. The final energy is -139.63 eV/f.u. For the density of states at the Fermi level, the calculation gives 55.3 states/eV/f.u. The value obtained for the total magnetization is 2.2 μB/cell.



Record 5
The following is a GGA-PBE calculation of ZnRe2O12 after structural relaxation, from the Alexandria database.

abc: 5.945 7.013 7.325
angles: 112.45 86.94 113.03
Each line ends with the local moment (μB).
Positions (direct):
Zn 0.500 0.000 0.000  0.10
Re 0.090 0.361 0.675  -0.02
Re 0.910 0.639 0.325  -0.02
O 0.775 0.268 0.706  0.20
O 0.225 0.732 0.294  0.20
O 0.533 0.952 0.720  1.34
O 0.467 0.048 0.280  1.34
O 0.132 0.353 0.435  0.10
O 0.868 0.647 0.565  0.10
O 0.247 0.640 0.859  0.21
O 0.753 0.360 0.141  0.21
O 0.667 0.794 0.910  1.35
O 0.333 0.206 0.090  1.35
O 0.200 0.180 0.708  0.13
O 0.800 0.820 0.292  0.13

Results
As for the formation energy without anion corrections: -6.5 eV per formula unit. The final energy is -92.14 eV/f.u. For the density of states at the Fermi level, the calculation gives 4.6 states/eV/f.u. The value obtained for the total magnetization is 8.1 μB/cell.



Record 6
The following is a GGA-PBE calculation of ZnReO4 after structural relaxation, from the Alexandria database.

abc: 5.369 5.369 5.839
angles: 117.37 117.37 90.00
Each line ends with the local moment (μB).
Positions (direct):
Zn 0.750 0.250 0.500  0.05
Re 0.500 0.500 0.000  0.65
O 0.490 0.855 0.244  0.05
O 0.755 0.389 0.244  0.05
O 0.145 0.245 0.756  0.05
O 0.611 0.510 0.756  0.05

Results
As for the formation energy without anion corrections: -8.2 eV per formula unit. The offset from the most stable computed form is 41 meV per atom. The final energy is -41.73 eV/f.u. For the density of states at the Fermi level, the calculation gives 2.4 states/eV/f.u. The value obtained for the total magnetization is 1.0 μB/cell.



Record 7
The following is a GGA-PBE calculation of ZnReO3 after structural relaxation, from the Alexandria database.

abc: 3.831 3.831 3.831
angles: 90.00 90.00 90.00
Each line ends with the local moment (μB).
Positions (direct):
Re 0.500 0.500 0.500  3.27
Zn 0.000 0.000 0.000  -0.02
O 0.000 0.500 0.000  -0.07
O 0.000 0.000 0.500  0.01
O 0.500 0.000 0.000  -0.02

Results
As for the formation energy without anion corrections: 2.0 eV per formula unit. The final energy is -26.64 eV/f.u. For the density of states at the Fermi level, the calculation gives 4.6 states/eV/f.u. The value obtained for the total magnetization is 3.6 μB/cell.



Record 8
The following is a GGA-PBE calculation of Zn3ReO after structural relaxation, from the Alexandria database.

abc: 4.093 4.093 4.093
angles: 90.00 90.00 90.00
Positions (direct):
Re 0.500 0.500 0.500
Zn 0.000 0.500 0.000
Zn 0.000 0.000 0.500
Zn 0.500 0.000 0.000
O 0.000 0.000 0.000

Results
As for the formation energy without anion corrections: 1.7 eV per formula unit. The offset from the most stable computed form is 0 meV per atom. The final energy is -19.55 eV/f.u. For the density of states at the Fermi level, the calculation gives 4.4 states/eV/f.u. The value obtained for the total magnetization is 0.0 μB/cell.



Record 9
The following is a GGA-PBE calculation of ZnReO3 after structural relaxation, from the Alexandria database.

abc: 3.875 3.875 3.875
angles: 90.00 90.00 90.00
Positions (direct):
Re 0.000 0.000 0.000
Zn 0.500 0.500 0.500
O 0.000 0.500 0.000
O 0.000 0.000 0.500
O 0.500 0.000 0.000

Results
As for the formation energy without anion corrections: -4.7 eV per formula unit. The final energy is -33.31 eV/f.u. For the density of states at the Fermi level, the calculation gives 2.7 states/eV/f.u. The value obtained for the total magnetization is 0.0 μB/cell.



Record 10
The following is a GGA-PBE calculation of ZnRe2O after structural relaxation, from the Alexandria database.

abc: 4.161 4.161 4.161
angles: 60.00 60.00 60.00
Positions (direct):
Re 0.250 0.250 0.250
Re 0.750 0.750 0.750
Zn 0.500 0.500 0.500
O 0.000 0.000 0.000

Results
As for the formation energy without anion corrections: 3.5 eV per formula unit. The offset from the most stable computed form is 208 meV per atom. The final energy is -27.61 eV/f.u. For the density of states at the Fermi level, the calculation gives 4.1 states/eV/f.u. The value obtained for the total magnetization is 0.0 μB/cell.



Record 11
The following is a GGA-PBE calculation of Zn6ReO6 after structural relaxation, from the Alexandria database.

abc: 5.737 5.737 5.737
angles: 90.00 90.00 90.00
Each line ends with the local moment (μB).
Positions (direct):
Zn 0.248 0.500 0.000  0.01
Zn 0.752 0.500 0.000  0.01
Zn 0.500 0.000 0.248  0.01
Zn 0.500 0.000 0.752  0.01
Zn 0.000 0.248 0.500  0.01
Zn 0.000 0.752 0.500  0.01
Re 0.000 0.000 0.000  3.83
O 0.254 0.000 0.500  0.06
O 0.746 0.000 0.500  0.06
O 0.000 0.500 0.254  0.06
O 0.000 0.500 0.746  0.06
O 0.500 0.254 0.000  0.06
O 0.500 0.746 0.000  0.06

Results
As for the formation energy without anion corrections: -9.1 eV per formula unit. The final energy is -58.92 eV/f.u. For the density of states at the Fermi level, the calculation gives 2.8 states/eV/f.u. The value obtained for the total magnetization is 5.0 μB/cell.



Record 12
The following is a GGA-PBE calculation of ZnReO4 after structural relaxation, from the Alexandria database.

abc: 4.704 4.704 3.098
angles: 90.00 90.00 92.23
Each line ends with the local moment (μB).
Positions (direct):
Zn 0.000 0.000 0.000  0.02
Re 0.500 0.500 0.500  0.82
O 0.216 0.216 0.500  -0.02
O 0.686 0.314 0.000  0.06
O 0.314 0.686 0.000  0.06
O 0.784 0.784 0.500  -0.02

Results
As for the formation energy without anion corrections: -8.4 eV per formula unit. The offset from the most stable computed form is 0 meV per atom. The final energy is -41.98 eV/f.u. For the density of states at the Fermi level, the calculation gives 0.8 states/eV/f.u. The value obtained for the total magnetization is 1.0 μB/cell.



Record 13
The following is a GGA-PBE calculation of Zn3ReO6 after structural relaxation, from the Alexandria database.

abc: 6.149 6.149 6.149
angles: 89.74 89.74 89.74
Each line ends with the local moment (μB).
Positions (direct):
Zn 0.462 0.942 0.750  0.02
Zn 0.942 0.750 0.462  0.02
Zn 0.250 0.538 0.058  0.02
Zn 0.750 0.462 0.942  0.02
Zn 0.058 0.250 0.538  0.02
Zn 0.538 0.058 0.250  0.02
Re 0.000 0.000 0.000  0.22
Re 0.500 0.500 0.500  1.33
O 0.296 0.940 0.066  0.00
O 0.060 0.934 0.704  0.00
O 0.608 0.798 0.441  0.02
O 0.934 0.704 0.060  0.00
O 0.441 0.608 0.798  0.02
O 0.202 0.559 0.392  0.02
O 0.798 0.441 0.608  0.02
O 0.559 0.392 0.202  0.02
O 0.066 0.296 0.940  0.00
O 0.392 0.202 0.559  0.02
O 0.940 0.066 0.296  0.00
O 0.704 0.060 0.934  0.00

Results
As for the formation energy without anion corrections: -13.4 eV per formula unit. The final energy is -59.46 eV/f.u. For the density of states at the Fermi level, the calculation gives 3.6 states/eV/f.u. The value obtained for the total magnetization is 2.0 μB/cell.



Record 14
The following is a GGA-PBE calculation of ZnRe2O after structural relaxation, from the Alexandria database.

abc: 3.961 3.961 8.198
angles: 76.02 76.02 90.00
Positions (direct):
Re 0.546 0.125 0.250
Re 0.204 0.625 0.250
Re 0.375 0.454 0.750
Re 0.875 0.796 0.750
Zn 0.000 0.000 0.000
Zn 0.750 0.250 0.500
O 0.500 0.500 0.000
O 0.250 0.750 0.500

Results
As for the formation energy without anion corrections: 2.7 eV per formula unit. The offset from the most stable computed form is 0 meV per atom. The final energy is -28.45 eV/f.u. For the density of states at the Fermi level, the calculation gives 2.7 states/eV/f.u. The value obtained for the total magnetization is 0.0 μB/cell.



Record 15
The following is a GGA-PBE calculation of Zn2ReO6 after structural relaxation, from the Alexandria database.

abc: 4.724 4.724 9.198
angles: 90.00 90.00 90.00
Each line ends with the local moment (μB).
Positions (direct):
Zn 0.000 0.000 0.338  0.04
Zn 0.500 0.500 0.838  0.04
Zn 0.500 0.500 0.162  0.04
Zn 0.000 0.000 0.662  0.04
Re 0.000 0.000 0.000  -0.10
Re 0.500 0.500 0.500  -0.10
O 0.307 0.307 0.350  0.14
O 0.693 0.693 0.350  0.14
O 0.193 0.807 0.850  0.14
O 0.807 0.193 0.850  0.14
O 0.193 0.807 0.150  0.14
O 0.807 0.193 0.150  0.14
O 0.307 0.307 0.650  0.14
O 0.693 0.693 0.650  0.14
O 0.286 0.286 0.000  0.16
O 0.714 0.714 0.000  0.16
O 0.214 0.786 0.500  0.16
O 0.786 0.214 0.500  0.16

Results
As for the formation energy without anion corrections: -11.0 eV per formula unit. The final energy is -55.73 eV/f.u. For the density of states at the Fermi level, the calculation gives 6.1 states/eV/f.u. The value obtained for the total magnetization is 2.0 μB/cell.



Record 16
The following is a GGA-PBE calculation of Zn3ReO after structural relaxation, from the Alexandria database.

abc: 4.935 4.935 4.935
angles: 90.00 90.00 90.00
Each line ends with the local moment (μB).
Positions (direct):
Re 0.000 0.000 0.000  1.75
Zn 0.000 0.500 0.000  0.05
Zn 0.000 0.000 0.500  0.04
Zn 0.500 0.000 0.000  0.05
O 0.500 0.500 0.500  1.14

Results
As for the formation energy without anion corrections: 6.7 eV per formula unit. The offset from the most stable computed form is 1012 meV per atom. The final energy is -14.49 eV/f.u. For the density of states at the Fermi level, the calculation gives 4.8 states/eV/f.u. The value obtained for the total magnetization is 3.6 μB/cell.



Record 17
The following is a GGA-PBE calculation of ZrReO2 after structural relaxation, from the Alexandria database.

abc: 4.052 4.052 4.052
angles: 60.00 60.00 60.00
Each line ends with the local moment (μB).
Positions (direct):
Re 0.500 0.500 0.500  0.44
O 0.250 0.250 0.250  0.03
O 0.750 0.750 0.750  0.03
Zr 0.000 0.000 0.000  0.06

Results
As for the formation energy without anion corrections: -2.0 eV per formula unit. The offset from the most stable computed form is 973 meV per atom. The final energy is -32.94 eV/f.u. For the density of states at the Fermi level, the calculation gives 3.6 states/eV/f.u. The value obtained for the total magnetization is 0.6 μB/cell.



Record 18
The following is a GGA-PBE calculation of Zr9Re4O3 after structural relaxation, from the Alexandria database.

abc: 8.553 8.553 8.667
angles: 90.00 90.00 120.00
Positions (direct):
Zr 0.453 0.906 0.250
Zr 0.547 0.094 0.750
Zr 0.094 0.547 0.250
Zr 0.906 0.453 0.750
Zr 0.453 0.547 0.250
Zr 0.547 0.453 0.750
Zr 0.202 0.404 0.561
Zr 0.798 0.596 0.439
Zr 0.596 0.798 0.561
Zr 0.798 0.596 0.061
Zr 0.404 0.202 0.439
Zr 0.202 0.404 0.939
Zr 0.202 0.798 0.561
Zr 0.404 0.202 0.061
Zr 0.798 0.202 0.439
Zr 0.596 0.798 0.939
Zr 0.798 0.202 0.061
Zr 0.202 0.798 0.939
Re 0.107 0.215 0.250
Re 0.893 0.785 0.750
Re 0.785 0.893 0.250
Re 0.215 0.107 0.750
Re 0.107 0.893 0.250
Re 0.893 0.107 0.750
Re 0.000 0.000 0.000
Re 0.000 0.000 0.500
O 0.500 0.000 0.000
O 0.000 0.500 0.000
O 0.500 0.000 0.500
O 0.500 0.500 0.000
O 0.000 0.500 0.500
O 0.500 0.500 0.500

Results
As for the formation energy without anion corrections: -18.7 eV per formula unit. The final energy is -160.28 eV/f.u. For the density of states at the Fermi level, the calculation gives 12.1 states/eV/f.u. The value obtained for the total magnetization is 0.0 μB/cell.



Record 19
The following is a GGA-PBE calculation of ZrReO2 after structural relaxation, from the Alexandria database.

abc: 7.060 7.060 7.060
angles: 24.01 24.01 24.01
Positions (direct):
Re 0.000 0.000 0.000
O 0.902 0.902 0.902
O 0.098 0.098 0.098
Zr 0.500 0.500 0.500

Results
As for the formation energy without anion corrections: -5.9 eV per formula unit. The offset from the most stable computed form is 0 meV per atom. The final energy is -36.83 eV/f.u. For the density of states at the Fermi level, the calculation gives 3.5 states/eV/f.u. The value obtained for the total magnetization is 0.0 μB/cell.



Record 20
The following is a GGA-PBE calculation of ZrRe2O8 after structural relaxation, from the Alexandria database.

abc: 5.486 6.479 6.479
angles: 65.12 85.78 85.78
Positions (direct):
Zr 0.000 0.000 0.000
Re 0.626 0.811 0.811
Re 0.374 0.189 0.189
O 0.200 0.297 0.928
O 0.800 0.072 0.703
O 0.306 0.865 0.865
O 0.694 0.135 0.135
O 0.200 0.928 0.297
O 0.800 0.703 0.072
O 0.681 0.653 0.653
O 0.319 0.347 0.347

Results
As for the formation energy without anion corrections: -19.4 eV per formula unit. The final energy is -92.48 eV/f.u. For the density of states at the Fermi level, the calculation gives 6.7 states/eV/f.u. The value obtained for the total magnetization is 0.0 μB/cell.